(1)
Here is Mn2ZnCrO6 after structural relaxation from Alexandria. Energies are from GGA+U.

abc: 5.0388 5.1023 5.3945
angles: 63.05 89.81 61.20
Closest atoms and distances in Å follow each position.
Sites, in units of the cell vectors:
1 Mn 0.0000 0.0000 0.0000  6 O 1.94-1.99
2 Mn 0.4880 0.0247 0.4654  5 O 1.95-2.09
3 Zn 0.2172 0.5629 0.6309  4 O 1.99-2.21
4 Cr 0.6890 0.6185 0.0671  6 O 1.99-2.03
5 O 0.0834 0.5294 0.2616  2 Mn 1.97-2.09, 1 Cr 1.99, 1 Zn 2.21
6 O 0.2838 0.8341 0.7768  2 Mn 1.99-2.07, 1 Zn 2.02, 1 Cr 2.03
7 O 0.3916 0.8257 0.2672  2 Mn 1.97-1.98, 1 Cr 2.01
8 O 0.6252 0.0881 0.7839  2 Mn 1.96-2.06, 1 Cr 2.03, 1 Zn 2.04
9 O 0.7719 0.1367 0.2616  2 Mn 1.95-1.98, 1 Cr 2.00
10 O 0.8912 0.4784 0.7916  1 Mn 1.94, 1 Zn 1.99, 1 Cr 2.00

magnetization	10.0	μB/f.u.
total energy	-6.90	eV/atom
DOS at the Fermi energy	0.15	states/eV per atom


(2)
Here is BaMnWO6 after structural relaxation from Alexandria. Energies are from GGA+U.

abc: 5.2165 5.2165 5.8049
angles: 90.00 90.00 120.00
Closest atoms and distances in Å follow each position.
Sites, in units of the cell vectors:
1 Ba 0.0000 0.0000 0.0000  6 O 2.72
2 Mn 0.6667 0.3333 0.5000  6 O 1.94
3 W 0.3333 0.6667 0.5000  6 O 1.95
4 O 0.3908 0.0014 0.3110  1 Mn 1.94, 1 W 1.95
5 O 0.3908 0.3894 0.6890  1 Mn 1.94, 1 W 1.95
6 O 0.6106 0.0014 0.6890  1 Mn 1.94, 1 W 1.95
7 O 0.6106 0.6092 0.3110  1 Mn 1.94, 1 W 1.95
8 O 0.9986 0.3894 0.3110  1 Mn 1.94, 1 W 1.95
9 O 0.9986 0.6092 0.6890  1 Mn 1.94, 1 W 1.95

magnetization	3.0	μB/f.u.
total energy	-7.27	eV/atom
DOS at the Fermi energy	0.00	states/eV per atom